[1]
# KScTi

A geometry-optimized KScTi structure (PBE, Alexandria).

magnetic moment	0.00	μB/f.u.
uncorrected energy	-4.3385	eV/atom

a b c (Å): 13.778 5.839 4.966
angles (deg): 90.00 90.00 90.00
Space group Pnma (No. 62)
One atom of each set of equivalent atoms:
K  0.229  0.250  0.005 [4 per cell]
Sc  0.000  0.000  0.500 [4 per cell]
Ti  0.024  0.750  0.000 [4 per cell]

=====

[2]
# YTlHg3

A geometry-optimized YTlHg3 structure (PBE, Alexandria).

magnetic moment	0.00	μB/f.u.
uncorrected energy	-2.1379	eV/atom

a b c (Å): 17.013 4.838 6.579
angles (deg): 90.00 108.22 90.00
Space group C2/m (No. 12)
One atom of each set of equivalent atoms:
Y  0.107  0.000  0.169 [4 per cell]
Tl  0.187  0.500  0.553 [4 per cell]
Hg  0.011  0.500  0.784 [4 per cell]
Hg  0.088  0.000  0.658 [4 per cell]
Hg  0.214  0.500  0.081 [4 per cell]

=====

[3]
# VSiNiIr

A geometry-optimized VSiNiIr structure (PBE, Alexandria).

magnetic moment	0.86	μB/f.u.
uncorrected energy	-7.6759	eV/atom
formation energy without anion corrections	-380	meV per atom

a b c (Å): 5.901 5.901 5.901
angles (deg): 90.00 90.00 90.00
Space group F-43m (No. 216)
One atom of each set of equivalent atoms:
V  0.000  0.000  0.000 [4 per cell]
Si  0.000  0.000  0.500 [4 per cell]
Ni  0.250  0.250  0.250 [4 per cell]
Ir  0.250  0.250  0.750 [4 per cell]